{"formula": "LaYTh", "functional": "PBE", "state": "relaxed", "lattice_angstrom": [[-2.1164, 2.2704, 1.8899], [1.0638, -1.5830, 3.0931], [6.3611, 4.6420, -1.9467]], "species": ["Th", "La", "Y"], "frac_coords": [[0.3351, 0.3351, 0.6701], [0.6753, 0.6753, 0.3506], [0.9897, 0.9897, 0.9793]], "ef_ev_per_atom": 0.03, "volume_a3_per_cell": 101.60, "magnetic_moment_mub_per_cell": 0.00, "spacegroup": "I4mm", "total_energy_ev_per_atom": -6.24, "de_polymorph_ev_per_atom": 0.002}